No. 1
Below is a geometry-optimized NaSm3Hg5 structure, with properties calculated at the PBE-GGA level.

Cell lengths 6.4295, 9.2123, 9.2124 Å; angles 120.00, 90.00, 90.00 degrees
Element x y z (fractional)
Na 0.0000 0.0000 0.0000
Na 0.5000 0.0000 0.0000
Sm 0.7500 0.3616 0.3616
Sm 0.7500 0.0000 0.6384
Sm 0.7500 0.6384 0.0000
Sm 0.2500 0.6384 0.6384
Sm 0.2500 0.0000 0.3616
Sm 0.2500 0.3616 0.0000
Hg 0.0000 0.6667 0.3333
Hg 0.5000 0.3333 0.6667
Hg 0.0000 0.3333 0.6667
Hg 0.5000 0.6667 0.3333
Hg 0.7500 0.6956 0.6956
Hg 0.7500 0.0000 0.3044
Hg 0.7500 0.3044 0.0000
Hg 0.2500 0.3044 0.3044
Hg 0.2500 0.0000 0.6956
Hg 0.2500 0.6956 0.0000

Energy relative to the elements = -37 kJ per mole of atoms
SG = P6_3/mcm

No. 2
Below is a geometry-optimized YMnW2 structure, with properties calculated at the PBE-GGA level.

Cell lengths 5.3112, 5.3112, 5.3112 Å; angles 144.95, 125.50, 66.45 degrees
Element x y z (fractional)
Mn 0.2305 0.7305 0.5000
W 0.0115 0.0115 0.0000
W 0.7679 0.2679 0.5000
Y 0.4901 0.4901 0.0000

Energy relative to the elements = 56 kJ per mole of atoms
Energy relative to the lowest polymorph listed for this composition = 249.2 meV per atom
SG = Imm2

No. 3
Below is a geometry-optimized Li5TlPd6 structure, with properties calculated at the PBE-GGA level.

Cell lengths 4.3514, 6.1684, 7.5255 Å; angles 114.19, 106.80, 90.00 degrees
Element x y z (fractional)
Tl 0.0000 0.0000 0.0000
Pd 0.8274 0.5652 0.6547
Pd 0.8274 0.0895 0.6547
Pd 0.5000 0.7277 0.0000
Pd 0.5000 0.2723 0.0000
Pd 0.1726 0.9105 0.3453
Pd 0.1726 0.4348 0.3453
Li 0.6617 0.1617 0.3234
Li 0.3291 0.3291 0.6582
Li 0.0000 0.5000 0.0000
Li 0.6709 0.6709 0.3418
Li 0.3383 0.8383 0.6766

Energy relative to the elements = -40 kJ per mole of atoms
Energy relative to the lowest polymorph listed for this composition = 0.0 meV per atom
SG = Immm

No. 4
Below is a geometry-optimized Mo2IrOs structure, with properties calculated at the PBE-GGA level.

Cell lengths 4.8030, 4.8030, 2.7707 Å; angles 90.00, 90.00, 109.55 degrees
Element x y z (fractional)
Mo 0.0000 0.0000 0.0000
Mo 0.5000 0.5000 0.0000
Ir 0.0000 0.5000 0.5000
Os 0.5000 0.0000 0.5000

Energy relative to the elements = -11 kJ per mole of atoms
Energy relative to the lowest polymorph listed for this composition = 19.0 meV per atom
SG = Cmmm